Zr6InH | PBE-GGA | relaxed

Cell: 5.8771 7.5457 5.6960 Å, 72.34 64.01 48.75°
With the nearest neighbours (Å) after each atom.
Fractional coordinates of all 8 atoms:
Zr (0.4256, 0.8421, 0.7251)  1 H 1.97
Zr (0.9964, 0.3660, 0.8042)  1 H 2.64
Zr (0.2354, 0.0055, 0.2503)  1 H 2.41
H (0.0000, 0.0000, 0.0000)  2 Zr 1.97
Zr (0.5744, 0.1579, 0.2749)  1 H 1.97
In (0.5000, 0.5000, 0.5000)  4 Zr 2.92-3.13
Zr (0.0036, 0.6340, 0.1958)  1 H 2.64
Zr (0.7646, 0.9945, 0.7497)  1 H 2.41

Output
The raw total energy is -56.989 eV for the cell shown. Its symmetry is P-1.